A relaxed structure of Th8AgC6, computed with PBE-GGA.

Output
ρ in Mg/m³: 9.534
Total energy in eV per atom: -7.85
ΔH_f (0 K) in meV/atom: -11.2

abc: 7.080 7.080 7.080
angles: 91.11 91.11 91.11
Positions (direct):
Th  0.737  0.737  0.737
Th  0.263  0.263  0.263
Th  0.606  0.856  0.291
Th  0.856  0.291  0.606
Th  0.291  0.606  0.856
Th  0.394  0.144  0.709
Th  0.144  0.709  0.394
Th  0.709  0.394  0.144
Ag  0.000  0.000  0.000
C  0.608  0.428  0.815
C  0.428  0.815  0.608
C  0.815  0.608  0.428
C  0.392  0.572  0.185
C  0.572  0.185  0.392
C  0.185  0.392  0.572